*i*
13
Lattice="8.2996 -4.3690 0.0000 8.2996 4.3690 0.0000 -2.4241 0.0000 7.2513" Properties=species:S:1:pos:R:3 comment="Ac8In2Ir3, relaxed, DFT PBE-GGA" magmom_total_mub_per_fu=0.0 vol_a3_per_cell=525.9 crystal_system=monoclinic pbc="T T T"
Ac -0.4724 0.0000 6.5553
Ac 5.1206 2.3045 4.3800
Ac 9.0545 2.3045 2.8713
Ac 6.3055 0.0000 0.3037
Ac 7.8696 0.0000 6.9475
Ac 5.1206 -2.3045 4.3800
Ac 9.0545 -2.3045 2.8713
Ac 14.6475 0.0000 0.6960
In 3.5561 0.0000 2.3809
In 10.6191 0.0000 4.8704
Ir -1.2120 0.0000 3.6256
Ir 8.2996 2.1692 0.0000
Ir 8.2996 -2.1692 0.0000

---

*ii*
13
Lattice="7.3283 0.0000 0.0000 1.1134 7.4636 0.0000 3.4043 2.8620 8.6372" Properties=species:S:1:pos:R:3 comment="Ac8In2Ir3, relaxed, DFT PBE-GGA" magmom_total_mub_per_fu=0.0 vol_a3_per_cell=472.4 crystal_system=triclinic pbc="T T T"
Ac 0.9479 2.0295 1.0835
Ac 3.4720 4.4789 5.8051
Ac 4.6833 7.8398 3.5624
Ac 4.6363 4.0330 1.9165
Ac 7.2098 6.2927 6.7207
Ac 7.1627 2.4859 5.0749
Ac 8.3741 5.8468 2.8321
Ac 10.8981 8.2962 7.5537
In 6.8910 9.5047 8.4450
In 4.9550 0.8210 0.1922
Ir 2.2846 3.1050 3.4256
Ir 5.9230 5.1628 4.3186
Ir 9.5614 7.2207 5.2116

---

Relative energies, kJ/mol of atoms: *i* 6.1; *ii* 0.0.

---

*i*
10
Lattice="6.3954 -2.0573 0.0000 6.3954 2.0573 0.0000 -4.2764 0.0000 11.5393" Properties=species:S:1:pos:R:3 comment="Ac2In2Ir, relaxed, DFT PBE-GGA" magmom_total_mub_per_fu=0.0 vol_a3_per_cell=303.6 crystal_system=monoclinic pbc="T T T"
Ac -1.3824 0.0000 3.9346
Ac 1.9068 0.0000 1.5499
Ac 6.6076 0.0000 9.9895
Ac 9.8969 0.0000 7.6047
In 2.0888 0.0000 5.0837
In 5.4713 0.0000 1.2094
In 3.0431 0.0000 10.3299
In 6.4256 0.0000 6.4557
Ir 1.3085 0.0000 8.0249
Ir 7.2059 0.0000 3.5145

---

*ii*
10
Lattice="-2.4761 2.4761 12.7489 2.4761 -2.4761 12.7489 2.4761 2.4761 -12.7489" Properties=species:S:1:pos:R:3 comment="Ac2In2Ir, relaxed, DFT PBE-GGA" magmom_total_mub_per_fu=0.0 vol_a3_per_cell=312.6 crystal_system=tetragonal pbc="T T T"
Ac 2.4761 1.2380 -4.8105
Ac 0.0000 1.2380 1.5640
Ac 2.4761 1.2380 11.1849
Ac 0.0000 1.2380 17.5594
In 2.4761 1.2380 -1.3030
In 0.0000 1.2380 5.0715
In 2.4761 1.2380 7.6775
In 0.0000 1.2380 14.0519
Ir 2.4761 1.2380 3.1872
Ir 0.0000 1.2380 9.5617

---

Relative energies, kJ/mol of atoms: *i* 0.0; *ii* 15.4.

---

*i*
4
Lattice="3.9621 0.0000 0.0000 0.0000 3.9621 0.0000 0.0000 0.0000 11.5078" Properties=species:S:1:pos:R:3 comment="KAc2In, relaxed, DFT PBE-GGA" magmom_total_mub_per_fu=0.6 vol_a3_per_cell=180.7 crystal_system=tetragonal pbc="T T T"
K 0.0000 0.0000 0.0000
Ac 1.9811 1.9811 3.6575
Ac 1.9811 1.9811 7.8502
In 0.0000 0.0000 5.7539

---

*ii*
4
Lattice="2.0208 1.1667 13.4129 -2.0208 1.1667 13.4129 0.0000 -2.3335 13.4129" Properties=species:S:1:pos:R:3 comment="KAc2In, relaxed, DFT PBE-GGA" magmom_total_mub_per_fu=0.0 vol_a3_per_cell=189.7 crystal_system=trigonal pbc="T T T"
K 0.0000 0.0000 0.0000
Ac 0.0000 0.0000 4.2106
Ac 0.0000 0.0000 36.0279
In 0.0000 0.0000 20.1193

---

Relative energies, kJ/mol of atoms: *i* 0.0; *ii* 7.3.

---

*i*
10
Lattice="-6.1305 4.3391 3.8370 6.1305 -4.3391 3.8370 6.1305 4.3391 -3.8370" Properties=species:S:1:pos:R:3 comment="Ac3LaIn, relaxed, DFT PBE-GGA" magmom_total_mub_per_fu=0.1 vol_a3_per_cell=408.3 crystal_system=orthorhombic pbc="T T T"
Ac 3.0652 3.8507 -1.9070
Ac 0.3600 2.1676 0.0000
Ac 5.7705 2.1676 0.0000
Ac 3.0652 0.4883 1.9301
Ac 0.3600 2.1715 3.8370
Ac 5.7705 2.1715 3.8370
La 3.0652 -2.1671 3.8725
La 3.0652 6.5061 0.0354
In 3.0652 3.8148 1.9414
In -3.0652 4.8633 1.9414

---

*ii*
10
Lattice="2.6269 -13.7159 0.0000 2.6269 13.7159 0.0000 0.0000 0.0000 5.2662" Properties=species:S:1:pos:R:3 comment="Ac3LaIn, relaxed, DFT PBE-GGA" magmom_total_mub_per_fu=0.0 vol_a3_per_cell=379.5 crystal_system=orthorhombic pbc="T T T"
Ac 2.6269 12.2261 3.9496
Ac 2.6269 6.8462 3.9496
Ac 2.6269 1.5639 3.9496
Ac 2.6269 -1.5639 1.3165
Ac 2.6269 -6.8462 1.3165
Ac 2.6269 -12.2261 1.3165
La 2.6269 4.2151 1.3165
La 2.6269 -4.2151 3.9496
In 2.6269 9.5081 1.3165
In 2.6269 -9.5081 3.9496

---

Relative energies, kJ/mol of atoms: *i* 26.9; *ii* 0.0.

---

*i*
6
Lattice="-2.4333 3.9197 4.6895 2.4333 -3.9197 4.6895 2.4333 3.9197 -4.6895" Properties=species:S:1:pos:R:3 comment="AcLaIn4, relaxed, DFT PBE-GGA" magmom_total_mub_per_fu=0.0 vol_a3_per_cell=178.9 crystal_system=orthorhombic pbc="T T T"
Ac 0.0000 0.0000 0.0000
La 0.0000 3.9197 1.1112
In 2.4333 -1.5669 2.0446
In 2.4333 2.3985 -0.9640
In 2.4333 1.5669 2.0446
In 0.0000 1.5212 3.7255

---

*ii*
6
Lattice="0.0000 4.4102 4.4102 4.4102 0.0000 4.4102 4.4102 4.4102 0.0000" Properties=species:S:1:pos:R:3 comment="AcLaIn4, relaxed, DFT PBE-GGA" magmom_total_mub_per_fu=0.0 vol_a3_per_cell=171.6 crystal_system=cubic pbc="T T T"
Ac 0.0000 0.0000 0.0000
La 6.6153 6.6153 6.6153
In 3.3100 3.3100 3.3100
In 5.5104 5.5104 3.3100
In 5.5104 3.3100 5.5104
In 3.3100 5.5104 5.5104

---

Relative energies, kJ/mol of atoms: *i* 0.0; *ii* 3.9.

---

*i*
12
Lattice="-6.0888 6.0888 3.8273 6.0888 -6.0888 3.8273 6.0888 6.0888 -3.8273" Properties=species:S:1:pos:R:3 comment="Ac4LaIn, relaxed, DFT PBE-GGA" magmom_total_mub_per_fu=0.0 vol_a3_per_cell=567.6 crystal_system=tetragonal pbc="T T T"
Ac 6.0888 2.7711 -0.0464
Ac 3.3177 6.0888 -1.9600
Ac 2.7711 0.0000 1.8673
Ac 0.0000 3.2162 0.0000
Ac 0.0000 8.9614 0.0000
Ac 3.2162 6.0888 1.9137
Ac 2.8726 0.0000 5.7410
Ac 0.0000 3.3177 3.7809
La 6.0888 0.0000 1.7129
La 0.0000 0.0000 3.6266
In 0.0000 6.0888 1.7086
In 0.0000 0.0000 7.4496

---

*ii*
6
Lattice="0.0000 5.0581 5.0581 5.0581 0.0000 5.0581 5.0581 5.0581 0.0000" Properties=species:S:1:pos:R:3 comment="Ac4LaIn, relaxed, DFT PBE-GGA" magmom_total_mub_per_fu=0.0 vol_a3_per_cell=258.8 crystal_system=cubic pbc="T T T"
Ac 1.2610 1.2610 1.2610
Ac 3.7971 3.7971 1.2610
Ac 3.7971 1.2610 3.7971
Ac 1.2610 3.7971 3.7971
La 5.0581 5.0581 5.0581
In 7.5871 7.5871 7.5871

---

Relative energies, kJ/mol of atoms: *i* 2.9; *ii* 0.0.

---

*i*
7
Lattice="4.1287 0.0000 0.0000 -2.0638 6.2319 0.0000 -0.0009 -0.7647 9.0619" Properties=species:S:1:pos:R:3 comment="Ac2La2In3, relaxed, DFT PBE-GGA" magmom_total_mub_per_fu=0.0 vol_a3_per_cell=233.2 crystal_system=triclinic pbc="T T T"
Ac 0.0034 0.5878 1.8217
Ac 2.0606 4.8794 7.2402
La 0.0029 2.0376 5.9525
La 2.0612 3.4296 3.1095
In -0.0003 4.0953 0.5143
In 2.0639 -0.3823 4.5310
In 2.0644 1.3719 8.5476

---

*ii*
7
Lattice="2.3576 -13.1289 0.0000 2.3576 13.1289 0.0000 0.0000 0.0000 3.7180" Properties=species:S:1:pos:R:3 comment="Ac2La2In3, relaxed, DFT PBE-GGA" magmom_total_mub_per_fu=0.0 vol_a3_per_cell=230.2 crystal_system=orthorhombic pbc="T T T"
Ac 2.3576 11.1739 0.0000
Ac 2.3576 -11.1739 0.0000
La 2.3576 7.6145 0.0000
La 2.3576 -7.6145 0.0000
In 2.3576 4.0049 1.8590
In 2.3576 0.0000 1.8590
In 2.3576 -4.0049 1.8590

---

Relative energies, kJ/mol of atoms: *i* 0.0; *ii* 3.1.

---

*i*
10
Lattice="7.2465 0.0000 0.0000 0.0000 5.4086 0.0000 -3.6197 0.0000 8.7979" Properties=species:S:1:pos:R:3 comment="AcLa2In2, relaxed, DFT PBE-GGA" magmom_total_mub_per_fu=0.0 vol_a3_per_cell=344.8 crystal_system=monoclinic pbc="T T T"
Ac 0.0034 1.3522 1.5513
Ac 3.6234 4.0565 7.2466
La -0.0021 4.0565 4.7891
La 0.0051 4.0565 7.9642
La 3.6217 1.3522 0.8337
La 3.6289 1.3522 4.0088
In -1.5210 1.3522 6.5688
In 2.1051 4.0565 2.2353
In 1.5218 1.3522 6.5626
In 5.1478 4.0565 2.2292

---

*ii*
5
Lattice="5.6273 0.0000 0.0000 -2.8136 4.8733 0.0000 0.0000 0.0000 6.7163" Properties=species:S:1:pos:R:3 comment="AcLa2In2, relaxed, DFT PBE-GGA" magmom_total_mub_per_fu=0.0 vol_a3_per_cell=184.2 crystal_system=trigonal pbc="T T T"
Ac 0.0000 0.0000 0.0000
La 0.0000 3.2489 4.4483
La 2.8136 1.6244 2.2680
In 0.0000 3.2489 1.1735
In 2.8136 1.6244 5.5428

---

Relative energies, kJ/mol of atoms: *i* 0.0; *ii* 8.4.

---

*i*
9
Lattice="6.6785 0.0000 0.0000 -3.3393 5.7838 0.0000 0.0000 0.0000 9.8052" Properties=species:S:1:pos:R:3 comment="Ac2La6In, relaxed, DFT PBE-GGA" magmom_total_mub_per_fu=0.0 vol_a3_per_cell=378.7 crystal_system=trigonal pbc="T T T"
Ac 0.0000 3.8558 0.0000
Ac 3.3393 1.9279 0.0000
La -1.3121 2.2727 3.1162
La -2.0271 3.5111 6.6890
La 2.6243 0.0000 3.1162
La 1.3121 2.2727 6.6890
La 4.0542 0.0000 6.6890
La 2.0271 3.5111 3.1162
In 0.0000 0.0000 4.9026

---

*ii*
18
Lattice="10.9809 -4.3546 0.0000 10.9809 4.3546 0.0000 -0.9389 0.0000 7.0489" Properties=species:S:1:pos:R:3 comment="Ac2La6In, relaxed, DFT PBE-GGA" magmom_total_mub_per_fu=0.0 vol_a3_per_cell=674.1 crystal_system=monoclinic pbc="T T T"
Ac 4.5058 0.7257 2.5332
Ac 4.0363 -0.7257 6.0576
Ac 16.9865 0.7257 0.9913
Ac 16.5170 -0.7257 4.5157
La 1.3914 0.4205 0.6998
La 0.9220 -0.4205 4.2242
La 7.4296 1.4933 0.5504
La 8.6840 1.1116 4.2373
La 11.8694 1.1116 6.3361
La 14.0627 1.4933 2.9741
La 6.9601 -1.4933 4.0748
La 9.1534 -1.1116 0.7128
La 12.3389 -1.1116 2.8116
La 13.5933 -1.4933 6.4985
La 20.1009 0.4205 2.8247
La 19.6314 -0.4205 6.3491
In 10.7461 1.8561 1.7622
In 10.2767 -1.8561 5.2867

---

Relative energies, kJ/mol of atoms: *i* 23.9; *ii* 0.0.

---

*i*
6
Lattice="2.5960 -8.1354 0.0000 2.5960 8.1354 0.0000 0.0000 0.0000 5.1679" Properties=species:S:1:pos:R:3 comment="Ac2La3In, relaxed, DFT PBE-GGA" magmom_total_mub_per_fu=0.0 vol_a3_per_cell=218.3 crystal_system=orthorhombic pbc="T T T"
Ac 2.5960 5.4619 0.0000
Ac 2.5960 -5.4619 0.0000
La 0.0000 0.0000 2.5839
La 2.5960 2.5312 2.5839
La 2.5960 -2.5312 2.5839
In 2.5960 0.0000 0.0000

---

*ii*
12
Lattice="3.2717 -5.6968 0.0000 3.2717 5.6968 0.0000 -2.2228 0.0000 11.9456" Properties=species:S:1:pos:R:3 comment="Ac2La3In, relaxed, DFT PBE-GGA" magmom_total_mub_per_fu=0.0 vol_a3_per_cell=445.3 crystal_system=monoclinic pbc="T T T"
Ac 0.0000 0.0000 0.0000
Ac 2.1603 3.8285 5.9728
Ac 2.1603 0.0000 5.9728
Ac 2.1603 -3.8285 5.9728
La 1.1468 2.0226 2.8607
La 0.1300 0.0000 9.1229
La 1.1468 -2.0226 2.8607
La 3.1738 2.0226 9.0849
La 4.1906 0.0000 2.8226
La 3.1738 -2.0226 9.0849
In 3.2717 1.9377 0.0000
In 3.2717 -1.9377 0.0000

---

Relative energies, kJ/mol of atoms: *i* 0.0; *ii* 6.0.

---

*i*
4
Lattice="4.6038 0.0000 0.0000 0.0000 2.4612 6.2055 0.0000 -2.4612 6.2055" Properties=species:S:1:pos:R:3 comment="AcLaInPb, relaxed, DFT PBE-GGA" magmom_total_mub_per_fu=0.4 vol_a3_per_cell=140.6 crystal_system=orthorhombic pbc="T T T"
Ac 0.0000 0.0000 0.0000
La 2.3019 0.0000 8.9769
In 2.3019 0.0000 5.4882
Pb 0.0000 0.0000 3.4386

---

*ii*
4
Lattice="0.0000 4.0614 4.0614 4.0614 0.0000 4.0614 4.0614 4.0614 0.0000" Properties=species:S:1:pos:R:3 comment="AcLaInPb, relaxed, DFT PBE-GGA" magmom_total_mub_per_fu=0.0 vol_a3_per_cell=134.0 crystal_system=cubic pbc="T T T"
Ac 0.0000 0.0000 0.0000
La 4.0614 4.0614 4.0614
In 2.0307 2.0307 2.0307
Pb 6.0922 6.0922 6.0922

---

Relative energies, kJ/mol of atoms: *i* 0.0; *ii* 5.7.

---

*i*
4
Lattice="0.0000 4.0766 4.0766 4.0766 0.0000 4.0766 4.0766 4.0766 0.0000" Properties=species:S:1:pos:R:3 comment="AcLaTbIn, relaxed, DFT PBE-GGA" magmom_total_mub_per_fu=0.0 vol_a3_per_cell=135.5 crystal_system=cubic pbc="T T T"
Ac 0.0000 0.0000 0.0000
La 4.0766 4.0766 4.0766
Tb 2.0383 2.0383 2.0383
In 6.1149 6.1149 6.1149

---

*ii*
4
Lattice="0.0000 4.0378 4.0378 4.0378 0.0000 4.0378 4.0378 4.0378 0.0000" Properties=species:S:1:pos:R:3 comment="AcLaTbIn, relaxed, DFT PBE-GGA" magmom_total_mub_per_fu=0.0 vol_a3_per_cell=131.7 crystal_system=cubic pbc="T T T"
Ac 0.0000 0.0000 0.0000
La 6.0566 6.0566 6.0566
Tb 2.0189 2.0189 2.0189
In 4.0378 4.0378 4.0378

---

Relative energies, kJ/mol of atoms: *i* 0.0; *ii* 3.3.